## PuZr4Rh (GGA-PBE)

Data for a geometry-optimized PuZr4Rh structure.

Output
formation enthalpy at 0 K = -0.151 eV/atom
spin magnetization = 0.93 μB/atom

abc: 8.1143 12.3361 5.6430
angles: 90.00 110.84 90.00
Space group C2/c (No. 15)
One atom of each set of equivalent atoms:
1 Pu 0.0000 0.1098 0.2500 [4 per cell]
2 Zr 0.1022 0.3150 0.5539 [8 per cell]
3 Zr 0.2120 0.0967 0.8593 [8 per cell]
4 Rh 0.0000 0.4971 0.2500 [4 per cell]

## PuZrRh4 (GGA-PBE)

Data for a geometry-optimized PuZrRh4 structure.

Output
formation enthalpy at 0 K = -0.522 eV/atom
excess energy over the best structure of this formula in the dataset = 0.000 kcal/mol of atoms
spin magnetization = 0.87 μB/atom

abc: 7.4638 7.4638 7.4638
angles: 90.00 90.00 90.00
Space group F-43m (No. 216)
One atom of each set of equivalent atoms:
1 Pu 0.0000 0.0000 0.0000 [4 per cell]
2 Zr 0.2500 0.2500 0.7500 [4 per cell]
3 Rh 0.1250 0.1250 0.3750 [16 per cell]